No. 1
# Sc2GaFe5Co2

Sc2GaFe5Co2 after structural relaxation (GGA-PBE, Alexandria via LeMat-Bulk).

abc: 8.4699 8.4699 3.8210
angles: 90.00 90.00 90.00
Space group P4/mbm (No. 127)
Symmetry-distinct sites (fractional):
1 Sc 0.1834 0.3166 0.0000 [4 per cell]
2 Ga 0.0000 0.0000 0.0000 [2 per cell]
3 Fe 0.0000 0.5000 0.5000 [2 per cell]
4 Fe 0.0583 0.7947 0.5000 [8 per cell]
5 Co 0.1147 0.6147 0.0000 [4 per cell]

Computed properties:
- E_form: -0.11 eV/atom



No. 2
# Np3Tl3AsSe8

Np3Tl3AsSe8 after structural relaxation (GGA-PBE, Alexandria via LeMat-Bulk).

abc: 14.4833 8.3541 9.1520
angles: 90.00 121.77 90.00
Space group C2/m (No. 12)
Symmetry-distinct sites (fractional):
1 Np 0.0000 0.0000 0.0000 [2 per cell]
2 Np 0.2500 0.2500 0.0000 [4 per cell]
3 Tl 0.0000 0.5000 0.5000 [2 per cell]
4 Tl 0.2500 0.2500 0.5000 [4 per cell]
5 As 0.0000 0.5000 0.0000 [2 per cell]
6 Se 0.0153 0.2591 0.8060 [8 per cell]
7 Se 0.2247 0.5000 0.1924 [4 per cell]
8 Se 0.2356 0.0000 0.2056 [4 per cell]

Computed properties:
- Formation energy from raw total energies: -0.739 eV/atom



No. 3
# TiReTcMo

TiReTcMo after structural relaxation (GGA-PBE, Alexandria via LeMat-Bulk).

abc: 6.2370 6.2370 6.2370
angles: 90.00 90.00 90.00
Space group F-43m (No. 216)
Symmetry-distinct sites (fractional):
1 Ti 0.0000 0.0000 0.0000 [4 per cell]
2 Re 0.2500 0.2500 0.7500 [4 per cell]
3 Tc 0.2500 0.2500 0.2500 [4 per cell]
4 Mo 0.0000 0.0000 0.5000 [4 per cell]

Computed properties:
- E_form: -0.32 eV/atom



No. 4
# CuAgMo2

CuAgMo2 after structural relaxation (GGA-PBE, Alexandria via LeMat-Bulk).

abc: 2.6414 4.4431 5.2720
angles: 90.00 97.02 90.00
Space group P2/m (No. 10)
Symmetry-distinct sites (fractional):
1 Cu 0.0000 0.0000 0.0000 [1 per cell]
2 Ag 0.0000 0.0000 0.5000 [1 per cell]
3 Mo 0.4687 0.5000 0.2320 [2 per cell]

Computed properties:
- E_form: 0.39 eV/atom
- E above lowest polymorph: 156.3 meV per atom